*w*
The following is a DFT calculation (PBE-GGA) of a relaxed Cr2CdTe2 crystal.

Unit cell a=7.735 b=7.735 c=3.783 alpha=90.00 beta=90.00 gamma=90.00
Element x y z (fractional)
Cr  0.138  0.362  0.000
Cr  0.362  0.862  0.000
Cr  0.638  0.138  0.000
Cr  0.862  0.638  0.000
Cd  0.000  0.000  0.000
Cd  0.500  0.500  0.000
Te  0.162  0.662  0.500
Te  0.338  0.162  0.500
Te  0.662  0.838  0.500
Te  0.838  0.338  0.500

Computed properties:
N(E_F): 3.6 states/eV per cell
total moment: 7.926 μB per formula unit


*x*
The following is a DFT calculation (PBE-GGA) of a relaxed Cr2CdTe2 crystal.

Unit cell a=8.078 b=8.078 c=3.596 alpha=90.00 beta=90.00 gamma=90.00
Element x y z (fractional)
Cr  0.138  0.362  0.000
Cr  0.362  0.862  0.000
Cr  0.638  0.138  0.000
Cr  0.862  0.638  0.000
Cd  0.000  0.000  0.500
Cd  0.500  0.500  0.500
Te  0.158  0.658  0.500
Te  0.342  0.158  0.500
Te  0.658  0.842  0.500
Te  0.842  0.342  0.500

Computed properties:
N(E_F): 4.3 states/eV per cell
total moment: 8.064 μB per formula unit


*y*
The following is a DFT calculation (PBE-GGA) of a relaxed Cr2CdTe2 crystal.

Unit cell a=9.968 b=9.968 c=9.968 alpha=159.08 beta=159.08 gamma=29.76
Element x y z (fractional)
Cr  0.250  0.750  0.500
Cr  0.750  0.250  0.500
Cd  0.000  0.000  0.000
Te  0.348  0.348  0.000
Te  0.652  0.652  0.000

Computed properties:
N(E_F): 3.1 states/eV per cell
total moment: 0.610 μB per formula unit


*z*
The following is a DFT calculation (PBE-GGA) of a relaxed Cr2CdTe2 crystal.

Unit cell a=5.440 b=5.440 c=5.440 alpha=123.03 beta=123.03 gamma=84.83
Element x y z (fractional)
Cr  0.114  0.114  0.000
Cr  0.886  0.886  0.000
Cd  0.500  0.500  0.000
Te  0.250  0.750  0.500
Te  0.750  0.250  0.500

Computed properties:
N(E_F): 0.7 states/eV per cell
total moment: 0.000 μB per formula unit


Which structure wins on stability? *y* wins.


*w*
The following is a DFT calculation (PBE-GGA) of a relaxed Cr2CdTe crystal.

Unit cell a=9.836 b=9.836 c=9.836 alpha=156.08 beta=156.08 gamma=34.08
Element x y z (fractional)
Cr  0.020  0.625  0.895
Cr  0.375  0.270  0.395
Cr  0.730  0.125  0.105
Cr  0.875  0.980  0.605
Cd  0.250  0.750  0.500
Cd  0.500  0.500  0.000
Te  0.000  0.000  0.000
Te  0.750  0.250  0.500

Computed properties:
N(E_F): 10.7 states/eV per cell
total moment: 0.002 μB per formula unit


*x*
The following is a DFT calculation (PBE-GGA) of a relaxed Cr2CdTe crystal.

Unit cell a=5.158 b=5.158 c=5.158 alpha=128.64 beta=128.46 gamma=75.74
Element x y z (fractional)
Cr  0.250  0.250  0.000
Cr  0.750  0.750  0.000
Cd  0.500  0.000  0.500
Te  0.000  0.500  0.500

Computed properties:
N(E_F): 2.7 states/eV per cell
total moment: 8.179 μB per formula unit


*y*
The following is a DFT calculation (PBE-GGA) of a relaxed Cr2CdTe crystal.

Unit cell a=4.865 b=4.865 c=4.865 alpha=60.00 beta=60.00 gamma=60.00
Element x y z (fractional)
Cr  0.000  0.000  0.000
Cr  0.250  0.250  0.250
Cd  0.750  0.750  0.750
Te  0.500  0.500  0.500

Computed properties:
N(E_F): 2.0 states/eV per cell
total moment: 0.126 μB per formula unit


Which structure wins on stability? *x* wins.


*w*
The following is a DFT calculation (PBE-GGA) of a relaxed Cr2CdTe crystal.

Unit cell a=3.558 b=3.558 c=6.450 alpha=90.00 beta=90.00 gamma=90.00
Element x y z (fractional)
Cr  0.000  0.000  0.250
Cr  0.000  0.000  0.750
Cd  0.500  0.500  0.000
Te  0.500  0.500  0.500

Computed properties:
N(E_F): 2.5 states/eV per cell
total moment: 8.217 μB per formula unit


*x*
The following is a DFT calculation (PBE-GGA) of a relaxed Cr2CdTe crystal.

Unit cell a=3.178 b=3.178 c=8.003 alpha=90.00 beta=90.00 gamma=90.00
Element x y z (fractional)
Cr  0.000  0.000  0.000
Cr  0.500  0.500  0.152
Cd  0.500  0.500  0.768
Te  0.000  0.000  0.366

Computed properties:
N(E_F): 3.8 states/eV per cell
total moment: 0.180 μB per formula unit


Which structure wins on stability? *x* wins.


*w*
The following is a DFT calculation (PBE-GGA) of a relaxed Cr2CdTe crystal.

Unit cell a=4.879 b=4.879 c=4.879 alpha=60.00 beta=60.00 gamma=60.00
Element x y z (fractional)
Cr  0.250  0.250  0.250
Cr  0.750  0.750  0.750
Cd  0.000  0.000  0.000
Te  0.500  0.500  0.500

Computed properties:
N(E_F): 4.5 states/eV per cell
total moment: 8.437 μB per formula unit


*x*
The following is a DFT calculation (PBE-GGA) of a relaxed Cr2CdTe crystal.

Unit cell a=5.476 b=5.476 c=4.442 alpha=102.70 beta=102.70 gamma=39.51
Element x y z (fractional)
Cr  0.000  0.000  0.000
Cr  0.229  0.229  0.626
Cd  0.488  0.488  0.502
Te  0.734  0.734  0.115

Computed properties:
N(E_F): 2.8 states/eV per cell
total moment: 7.765 μB per formula unit


*y*
The following is a DFT calculation (PBE-GGA) of a relaxed Cr2CdTe crystal.

Unit cell a=4.603 b=4.603 c=5.803 alpha=103.51 beta=103.51 gamma=46.22
Element x y z (fractional)
Cr  0.243  0.243  0.250
Cr  0.757  0.757  0.750
Cd  0.000  0.000  0.500
Te  0.500  0.500  0.000

Computed properties:
N(E_F): 2.7 states/eV per cell
total moment: 7.881 μB per formula unit


Which structure wins on stability? *x* wins.


*w*
The following is a DFT calculation (PBE-GGA) of a relaxed Cr2CdTe crystal.

Unit cell a=3.713 b=4.690 c=4.730 alpha=90.00 beta=90.28 gamma=90.00
Element x y z (fractional)
Cr  0.000  0.000  0.000
Cr  0.000  0.500  0.500
Cd  0.500  0.000  0.500
Te  0.500  0.500  0.000

Computed properties:
N(E_F): 1.9 states/eV per cell
total moment: 8.451 μB per formula unit


*x*
The following is a DFT calculation (PBE-GGA) of a relaxed Cr2CdTe crystal.

Unit cell a=6.321 b=6.321 c=6.321 alpha=147.03 beta=140.57 gamma=52.31
Element x y z (fractional)
Cr  0.000  0.000  0.000
Cr  0.759  0.259  0.500
Cd  0.444  0.444  0.000
Te  0.188  0.688  0.500

Computed properties:
N(E_F): 2.3 states/eV per cell
total moment: 7.917 μB per formula unit


Which structure wins on stability? *w* wins.


*w*
The following is a DFT calculation (PBE-GGA) of a relaxed Ti2CrCd2 crystal.

Unit cell a=7.915 b=7.915 c=7.915 alpha=153.39 beta=153.39 gamma=37.99
Element x y z (fractional)
Ti  0.082  0.082  0.000
Ti  0.918  0.918  0.000
Cr  0.500  0.500  0.000
Cd  0.250  0.750  0.500
Cd  0.750  0.250  0.500

Computed properties:
N(E_F): 5.3 states/eV per cell
total moment: 0.000 μB per formula unit


*x*
The following is a DFT calculation (PBE-GGA) of a relaxed Ti2CrCd2 crystal.

Unit cell a=6.183 b=6.183 c=4.825 alpha=90.00 beta=90.00 gamma=90.00
Element x y z (fractional)
Ti  0.159  0.341  0.000
Ti  0.341  0.841  0.000
Ti  0.659  0.159  0.000
Ti  0.841  0.659  0.000
Cr  0.000  0.000  0.000
Cr  0.500  0.500  0.000
Cd  0.164  0.664  0.500
Cd  0.336  0.164  0.500
Cd  0.664  0.836  0.500
Cd  0.836  0.336  0.500

Computed properties:
N(E_F): 9.1 states/eV per cell
total moment: 0.211 μB per formula unit


Which structure wins on stability? *x* wins.